Below is a relaxed V2PF crystal, with properties calculated at the GGA+U level.

Calculated values
V	56.23	Å³ per cell
energy	-23.3	eV for the cell shown
symmetry	Fm-3m, No. 225

a b c (Å): 4.3002 4.3002 4.3002
angles (deg): 60.00 60.00 60.00
Closest atoms and distances in Å follow each position.
Atoms (fractional coordinates):
P1 0.5000 0.5000 0.5000  8 V 2.63
V1 0.2500 0.2500 0.2500  4 F 2.63, 4 P 2.63
V2 0.7500 0.7500 0.7500  4 F 2.63, 4 P 2.63
F1 0.0000 0.0000 0.0000  8 V 2.63